(1)
## Tm5HfAs6 (PBE)

Data for a relaxed Tm5HfAs6 crystal.

## Properties
- Energy of formation from the pure elements: -1.424 eV per atom
- Magnetization: 0.00 μB/f.u.

abc: 6.9537 6.9537 6.9525
angles: 99.64 99.64 119.95
Last column: nearest neighbours and their distance in Å.
Sites, in units of the cell vectors:
1 Tm 0.0000 0.0000 0.0000  6 As 2.84-2.91
2 Tm 0.1657 0.8343 0.5000  6 As 2.84-2.85
3 Tm 0.3306 0.6694 0.0000  6 As 2.84-2.88
4 Tm 0.6694 0.3306 0.0000  6 As 2.84-2.88
5 Tm 0.8343 0.1657 0.5000  6 As 2.84-2.85
6 Hf 0.5000 0.5000 0.5000  6 As 2.77
7 As 0.0938 0.4190 0.2560  1 Hf 2.77, 5 Tm 2.84-2.88
8 As 0.2579 0.2579 0.7462  1 Hf 2.77, 5 Tm 2.84-2.91
9 As 0.4190 0.0938 0.2560  1 Hf 2.77, 5 Tm 2.84-2.88
10 As 0.5810 0.9062 0.7440  1 Hf 2.77, 5 Tm 2.84-2.88
11 As 0.7421 0.7421 0.2538  1 Hf 2.77, 5 Tm 2.84-2.91
12 As 0.9062 0.5810 0.7440  1 Hf 2.77, 5 Tm 2.84-2.88

=====

(2)
## K2NpI4Cl2 (PBE)

Data for a relaxed K2NpI4Cl2 crystal.

## Properties
- Formation energy (no corrections): -12.07 eV per formula unit
- Magnetization: 3.00 μB/f.u.

abc: 7.8422 7.8422 8.3040
angles: 116.04 116.04 65.78
Last column: nearest neighbours and their distance in Å.
Sites, in units of the cell vectors:
1 K 0.2244 0.2244 0.2177  1 Cl 3.18
2 K 0.7756 0.7756 0.7823  1 Cl 3.18
3 Np 0.0000 0.0000 0.5000  2 Cl 2.59
4 I 0.1996 0.7020 0.2079  1 Np 3.02
5 I 0.2980 0.8004 0.7921  1 Np 3.02
6 I 0.7020 0.1996 0.2079  1 Np 3.02
7 I 0.8004 0.2980 0.7921  1 Np 3.02
8 Cl 0.2216 0.2216 0.5982  1 Np 2.59
9 Cl 0.7784 0.7784 0.4018  1 Np 2.59

=====

(3)
## BeTl2Pd6 (PBE)

Data for a relaxed BeTl2Pd6 crystal.

## Properties
- Energy of formation from the pure elements: -0.137 eV per atom
- Magnetization: 0.00 μB/f.u.

abc: 7.8551 7.8551 7.8551
angles: 156.79 123.78 61.64
Last column: nearest neighbours and their distance in Å.
Sites, in units of the cell vectors:
1 Be 0.0000 0.0000 0.0000  4 Pd 2.24
2 Tl 0.3560 0.3560 0.0000  8 Pd 2.83-2.89, 2 Tl 3.16
3 Tl 0.6440 0.6440 0.0000  8 Pd 2.83-2.89, 2 Tl 3.16
4 Pd 0.0174 0.8322 0.1852  1 Be 2.65, 5 Pd 2.74-2.89, 3 Tl 2.83-2.89
5 Pd 0.2149 0.5000 0.7149  2 Be 2.24
6 Pd 0.3529 0.1678 0.1852  1 Be 2.65, 5 Pd 2.74-2.89, 3 Tl 2.83-2.89
7 Pd 0.6471 0.8322 0.8148  1 Be 2.65, 5 Pd 2.74-2.89, 3 Tl 2.83-2.89
8 Pd 0.7851 0.5000 0.2851  2 Be 2.24
9 Pd 0.9826 0.1678 0.8148  1 Be 2.65, 5 Pd 2.74-2.89, 3 Tl 2.83-2.89

=====

(4)
## Ca2Sm2Mg3 (PBE)

Data for a relaxed Ca2Sm2Mg3 crystal.

## Properties
- Energy of formation from the pure elements: -0.039 eV per atom
- Magnetization: 0.00 μB/f.u.

abc: 15.4091 15.4091 3.7407
angles: 90.00 90.00 165.49
Last column: nearest neighbours and their distance in Å.
Sites, in units of the cell vectors:
1 Ca 0.1961 0.8039 0.0000  4 Mg 3.43, 4 Ca 3.74-3.83
2 Ca 0.8039 0.1961 0.0000  4 Mg 3.43, 4 Ca 3.74-3.83
3 Sm 0.0625 0.9375 0.0000  8 Mg 3.31-3.34
4 Sm 0.9375 0.0625 0.0000  8 Mg 3.31-3.34
5 Mg 0.3729 0.6271 0.5000  4 Sm 3.34, 4 Ca 3.43, 2 Mg 3.74
6 Mg 0.5000 0.5000 0.5000  8 Sm 3.31
7 Mg 0.6271 0.3729 0.5000  4 Sm 3.34, 4 Ca 3.43, 2 Mg 3.74

=====

(5)
## La2IrRuI (PBE)

Data for a relaxed La2IrRuI crystal.

## Properties
- Formation energy (no corrections): -1.15 eV per formula unit
- Magnetization: 0.00 μB/f.u.

abc: 5.6433 5.6433 4.6858
angles: 90.00 90.00 90.00
Last column: nearest neighbours and their distance in Å.
Sites, in units of the cell vectors:
1 La 0.0000 0.5000 0.0000  2 Ru 2.82
2 La 0.5000 0.0000 0.0000  2 Ru 2.82
3 Ir 0.0000 0.0000 0.5000  2 Ru 2.34
4 Ru 0.0000 0.0000 0.0000  2 Ir 2.34
5 I 0.5000 0.5000 0.5000  8 La 3.67, 4 Ir 3.99

=====

(6)
## BaAcTlCd (PBE)

Data for a relaxed BaAcTlCd crystal.

## Properties
- Energy of formation from the pure elements: -0.348 eV per atom
- Magnetization: 0.01 μB/f.u.
- Distance to the lowest polymorph of the same formula: 0.0 meV/atom

abc: 4.1632 4.1632 8.4987
angles: 90.00 90.00 90.00
Last column: nearest neighbours and their distance in Å.
Sites, in units of the cell vectors:
1 Ba 0.0000 0.0000 0.0000  4 Cd 3.73, 4 Tl 3.75, 4 Ba 4.16
2 Ac 0.0000 0.0000 0.4941  4 Cd 3.51, 4 Tl 3.55
3 Tl 0.5000 0.5000 0.7275  4 Ac 3.55, 4 Ba 3.75, 1 Cd 3.90
4 Cd 0.5000 0.5000 0.2687  4 Ac 3.51, 4 Ba 3.73, 1 Tl 3.90